w | Compound: KLaCu
Source: Alexandria
Functional: PBE
Structure: relaxed

Cell: 4.086 4.086 8.104 Å, 90.00 90.00 120.00°
Atoms (fractional coordinates):
K (0.000, 0.000, 0.000)
La (0.667, 0.333, 0.498)
Cu (0.333, 0.667, 0.696)

Space-group type = P3m1
Crystal system = trigonal
Spin magnetization = 0.00 Bohr magnetons per cell
Theoretical density = 3.4 g/cm3


x | Compound: KLaCu
Source: Alexandria
Functional: PBE
Structure: relaxed

Cell: 3.968 4.215 7.127 Å, 90.00 105.97 90.00°
Atoms (fractional coordinates):
K (0.000, 0.000, 0.000)
La (0.739, 0.500, 0.486)
Cu (0.271, 0.000, 0.551)

Space-group type = Pm
Crystal system = monoclinic
Spin magnetization = 0.00 Bohr magnetons per cell
Theoretical density = 3.5 g/cm3


y | Compound: KLaCu
Source: Alexandria
Functional: PBE
Structure: relaxed

Cell: 17.401 4.108 6.162 Å, 90.00 101.05 90.00°
Atoms (fractional coordinates):
K (0.000, 0.000, 0.000)
K (0.080, 0.500, 0.535)
K (0.500, 0.500, 0.000)
K (0.580, 0.000, 0.535)
La (0.268, 0.000, 0.873)
La (0.327, 0.500, 0.413)
La (0.768, 0.500, 0.873)
La (0.827, 0.000, 0.413)
Cu (0.178, 0.500, 0.092)
Cu (0.204, 0.000, 0.325)
Cu (0.678, 0.000, 0.092)
Cu (0.704, 0.500, 0.325)

Space-group type = Cm
Crystal system = monoclinic
Spin magnetization = 0.46 Bohr magnetons per cell
Theoretical density = 3.7 g/cm3


Stability, highest: y


w | Compound: KLaCu
Source: Alexandria
Functional: PBE
Structure: relaxed

Cell: 3.988 6.981 8.538 Å, 90.00 90.06 90.00°
Atoms (fractional coordinates):
K (0.000, 0.000, 0.000)
K (0.500, 0.500, 0.259)
La (0.501, 0.000, 0.544)
La (0.501, 0.500, 0.755)
Cu (0.001, 0.319, 0.554)
Cu (0.001, 0.681, 0.554)

Space-group type = Pm
Crystal system = monoclinic
Spin magnetization = 0.00 Bohr magnetons per cell
Theoretical density = 3.4 g/cm3


x | Compound: KLaCu
Source: Alexandria
Functional: PBE
Structure: relaxed

Cell: 4.123 4.130 6.893 Å, 90.00 90.18 90.00°
Atoms (fractional coordinates):
K (0.000, 0.000, 0.000)
La (0.500, 0.500, 0.500)
Cu (0.000, 0.000, 0.500)

Space-group type = P2/m
Crystal system = monoclinic
Spin magnetization = 0.00 Bohr magnetons per cell
Theoretical density = 3.4 g/cm3


y | Compound: KLaCu
Source: Alexandria
Functional: PBE
Structure: relaxed

Cell: 4.107 6.017 8.976 Å, 78.77 89.69 89.98°
Atoms (fractional coordinates):
K (0.000, 0.000, 0.000)
K (0.498, 0.459, 0.178)
La (0.490, 0.585, 0.668)
La (0.991, 0.127, 0.535)
Cu (0.492, 0.897, 0.368)
Cu (0.991, 0.662, 0.424)

Space-group type = P1
Crystal system = triclinic
Spin magnetization = 0.00 Bohr magnetons per cell
Theoretical density = 3.7 g/cm3


Stability, highest: y